1.
This record from Alexandria via LeMat-Bulk describes Na17Cd11Sb after structural relaxation. The functional is PBE.

Structure (extended XYZ):
```
29
Lattice="9.4556 0.0134 -3.3806 -4.6525 8.2318 -3.3806 0.0334 0.0573 10.2623" Properties=species:S:1:pos:R:3 pbc="T T T"
Cd -2.0810 6.7392 -1.4990
Cd 2.2054 6.7317 -4.8743
Cd 6.1190 0.0896 6.2209
Cd 4.7679 5.2390 -4.8743
Cd 0.0214 3.0257 1.9746
Cd 3.0399 8.2339 0.3637
Cd -2.9404 5.3670 6.2209
Cd 5.6629 6.7059 0.3637
Cd 0.8672 1.4887 7.0661
Cd 6.8887 1.5141 -1.4990
Cd 2.6214 1.5111 1.9746
Na 3.2914 0.0387 -1.1438
Na 5.5968 0.0321 1.2426
Na 3.2882 5.6446 -1.7759
Na 0.5614 5.8687 0.3477
Na 0.0330 0.0566 0.0099
Na 5.2603 2.3965 3.7769
Na 1.9895 3.4153 4.6287
Na -1.6117 8.2526 1.5742
Na 7.9737 2.6688 1.5742
Na 4.7975 8.2356 -3.1510
Na 3.1916 5.4789 2.3551
Na -0.5101 5.7580 3.7769
Na 4.8281 3.3832 0.3477
Na -1.5899 2.8822 -1.1438
Na -2.7328 4.8844 1.2426
Na 4.1587 2.6368 7.1934
Na 0.2423 4.9182 7.1934
Sb 1.7367 2.9812 -0.7341
```

Values from the calculation:
As for the uncorrected energy: -1.37 eV per atom. The volume is 27.7 Å³ per atom. The value obtained for the uncorrected formation energy is -0.11 eV/atom. The density of states at the Fermi level is 13.00 states/eV per cell.

---

2.
This record from Alexandria via LeMat-Bulk describes Na2Te2C after structural relaxation. The functional is PBE.

Structure (extended XYZ):
```
5
Lattice="6.3902 0.0000 0.0000 0.0000 6.3902 0.0000 3.1951 3.1951 4.0826" Properties=species:S:1:pos:R:3 pbc="T T T"
Na 6.3902 3.1951 2.0413
Na 3.1951 6.3902 2.0413
C 0.0000 0.0000 0.0000
Te 3.1951 3.1951 2.0472
Te 6.3902 6.3902 2.0354
```

Values from the calculation:
As for the uncorrected energy: -3.19 eV per atom. The volume is 33.3 Å³ per atom. The value obtained for the uncorrected formation energy is 0.44 eV/atom. The density of states at the Fermi level is 0.00 states/eV per cell.

---

3.
This record from Alexandria via LeMat-Bulk describes NaTb2YTe4 after structural relaxation. The functional is PBE.

Structure (extended XYZ):
```
8
Lattice="-2.1564 2.8516 2.5027 -6.3949 -1.3567 -3.9643 0.3577 -4.8821 5.8710" Properties=species:S:1:pos:R:3 pbc="T T T"
Te -1.3308 -4.0048 3.4164
Te -4.7063 -2.2341 -1.5096
Te -2.6025 -0.1470 1.7300
Te -5.5911 -3.2402 2.6794
Y -4.2757 0.7474 -0.7308
Na 0.0000 0.0000 0.0000
Tb -3.0186 -3.1194 0.9534
Tb -0.8993 -1.0153 4.1868
```

Values from the calculation:
As for the uncorrected energy: -5.02 eV per atom. The volume is 30.2 Å³ per atom. The value obtained for the uncorrected formation energy is -1.32 eV/atom. The density of states at the Fermi level is 3.21 states/eV per cell.

---

4.
This record from Alexandria via LeMat-Bulk describes BePtW after structural relaxation. The functional is PBE.

Structure (extended XYZ):
```
3
Lattice="0.0000 2.8906 2.8906 2.8906 0.0000 2.8906 2.8906 2.8906 0.0000" Properties=species:S:1:pos:R:3 pbc="T T T"
Be 4.3359 4.3359 4.3359
Pt 2.8906 2.8906 2.8906
W 1.4453 1.4453 1.4453
```

Values from the calculation:
As for the uncorrected energy: -7.52 eV per atom. The formation energy is 0.06 eV per atom. The volume is 16.1 Å³ per atom. The density of states at the Fermi level is 0.02 states/eV per cell.

---

5.
This record from Alexandria via LeMat-Bulk describes CaVRe3 after structural relaxation. The functional is PBE.

Structure (extended XYZ):
```
5
Lattice="-3.7411 -1.2523 2.3925 -1.7064 -2.0719 -3.7528 2.0930 -3.9277 1.2168" Properties=species:S:1:pos:R:3 pbc="T T T"
V 0.0000 0.0000 0.0000
Ca -1.6772 -3.6260 -0.0717
Re -1.8705 -0.6262 1.1963
Re 1.0465 -1.9638 0.6084
Re -0.8532 -1.0360 -1.8764
```

Values from the calculation:
As for the uncorrected energy: -8.42 eV per atom. The formation energy is 1.28 eV per atom. The volume is 19.6 Å³ per atom. The density of states at the Fermi level is 5.28 states/eV per cell.

---

6.
This record from Alexandria via LeMat-Bulk describes Ba3GaPt2 after structural relaxation. The functional is PBE.

Structure (extended XYZ):
```
24
Lattice="-0.2785 -4.4017 -1.2693 11.0024 1.5336 -7.7326 7.3444 -3.2901 9.7975" Properties=species:S:1:pos:R:3 pbc="T T T"
Ba 5.3260 -2.7937 4.3705
Ba 6.8964 -3.8969 7.8517
Ba 4.6904 -0.7254 -2.6624
Ba 7.6220 -1.6389 -0.1379
Ba 10.4462 -4.5192 0.9334
Ba 13.3779 -5.4328 3.4580
Ba 12.7423 -3.3644 -3.5749
Ba 9.0612 -5.5142 4.6877
Ba 11.1719 -2.2612 -7.0562
Ba 13.7832 -2.1351 0.2308
Ba 9.0071 -0.6439 -3.8921
Ba 4.2851 -4.0230 0.5648
Pt 15.9072 -2.9708 2.6627
Pt 15.5456 -4.1212 -1.5659
Pt 10.9308 -3.0218 3.9317
Pt 2.5226 -2.0369 2.3614
Pt 2.1610 -3.1873 -1.8671
Pt 10.7368 -1.5346 -1.1831
Pt 7.1374 -3.1363 -3.1361
Pt 7.3315 -4.6235 1.9786
Ga 15.6544 -4.8601 0.9724
Ga 8.4721 -2.6105 3.0449
Ga 2.4138 -1.2981 -0.1769
Ga 9.5962 -3.5476 -2.2494
```

Values from the calculation:
As for the uncorrected energy: -4.15 eV per atom. The formation energy is -0.67 eV per atom. The volume is 32.8 Å³ per atom. The density of states at the Fermi level is 16.64 states/eV per cell.

---

7.
This record from Alexandria via LeMat-Bulk describes KBRh2O after structural relaxation. The functional is PBE.

Structure (extended XYZ):
```
5
Lattice="-1.1745 4.7440 -0.4917 -4.0218 -0.8785 1.1302 1.1547 0.7742 4.7111" Properties=species:S:1:pos:R:3 pbc="T T T"
O -2.0109 -0.4393 0.5651
Rh -0.5872 2.3720 -0.2459
Rh 0.5774 0.3871 2.3555
B -2.0208 2.3198 2.6748
K 0.0000 0.0000 0.0000
```

Values from the calculation:
As for the uncorrected energy: -2.89 eV per atom. The volume is 20.6 Å³ per atom. The value obtained for the uncorrected formation energy is 2.60 eV/atom. The density of states at the Fermi level is 8.97 states/eV per cell.

---

8.
This record from Alexandria via LeMat-Bulk describes CsSi2Te8As after structural relaxation. The functional is PBE.

Structure (extended XYZ):
```
12
Lattice="-1.4806 3.5764 -4.9885 -5.1908 3.5928 0.1205 5.2291 12.9773 3.7559" Properties=species:S:1:pos:R:3 pbc="T T T"
Cs -0.7212 10.0732 -0.5560
Si -0.8660 15.4164 -0.6783
Si -0.5764 4.7300 -0.4338
Te -4.2202 6.2368 -0.7279
Te 2.7778 13.9097 -0.3842
Te 0.2128 14.7016 1.6112
Te -3.9796 7.6116 -3.7676
Te 2.5372 12.5348 2.6555
Te 0.7110 6.5589 0.4953
Te -1.6552 5.4449 -2.7233
Te -2.1533 13.5876 -1.6074
As 0.0000 0.0000 0.0000
```

Values from the calculation:
As for the uncorrected energy: -3.48 eV per atom. The volume is 40.3 Å³ per atom. The value obtained for the uncorrected formation energy is -0.02 eV/atom. The density of states at the Fermi level is 5.13 states/eV per cell.

---

Q: uncorrected energy of number 2 (Na2Te2C)?
A: -3.19 eV per atom